No. 1
{
  "formula": "TbTmTl2",
  "functional": "PBE",
  "state": "relaxed",
  "space_group": "R-3m, No. 166",
  "dos_ef_per_ev_cell": 2.02,
  "delta_e_f_ev_per_atom": -0.252,
  "m_tot_mub_per_atom": 0.0000,
  "lattice": [[3.7264, 0.0000, 0.0000], [1.8632, 3.2272, 0.0000], [1.8632, 1.0757, 9.6242]],
  "species": ["Tl", "Tl", "Tm", "Tb"],
  "fractional_positions": [[0.7489, 0.7489, 0.7532], [0.2511, 0.2511, 0.2468], [0.0000, 0.0000, 0.0000], [0.5000, 0.5000, 0.5000]]
}

No. 2
{
  "formula": "Nd5HoEr2",
  "functional": "PBE",
  "state": "relaxed",
  "space_group": "I4/mcm, No. 140",
  "de_polymorph_kcal_per_mol_atoms": 0.000,
  "dos_ef_per_ev_cell": 20.82,
  "delta_e_f_ev_per_atom": 0.115,
  "m_tot_mub_per_atom": 0.0475,
  "lattice": [[-0.5823, -4.1933, 8.2016], [9.1393, 0.7632, 1.0391], [-5.0699, 7.3475, -1.7967]],
  "species": ["Nd", "Nd", "Nd", "Nd", "Nd", "Nd", "Nd", "Nd", "Nd", "Nd", "Ho", "Ho", "Er", "Er", "Er", "Er"],
  "fractional_positions": [[0.4863, 0.6862, 0.6725], [0.8138, 0.0137, 0.3275], [0.0000, 0.0000, 0.0000], [0.5000, 0.5000, 0.0000], [0.1862, 0.9863, 0.6725], [0.6862, 0.1862, 0.6725], [0.9863, 0.4863, 0.6725], [0.3138, 0.8138, 0.3275], [0.0137, 0.5137, 0.3275], [0.5137, 0.3138, 0.3275], [0.7500, 0.7500, 0.5000], [0.2500, 0.2500, 0.5000], [0.1456, 0.3544, 0.0000], [0.6456, 0.1456, 0.0000], [0.3544, 0.8544, 0.0000], [0.8544, 0.6456, 0.0000]]
}

No. 3
{
  "formula": "FeAg2Os",
  "functional": "PBE",
  "state": "relaxed",
  "space_group": "Fm-3m, No. 225",
  "de_polymorph_kcal_per_mol_atoms": 19.378,
  "dos_ef_per_ev_cell": 5.83,
  "delta_e_f_ev_per_atom": 1.154,
  "m_tot_mub_per_atom": 0.0001,
  "lattice": [[-1.3397, -3.3751, -2.4853], [-3.8630, 0.2088, -2.0966], [-0.1069, 0.3998, -4.3808]],
  "species": ["Os", "Fe", "Ag", "Ag"],
  "fractional_positions": [[0.5000, 0.5000, 0.5000], [0.0000, 0.0000, 0.0000], [0.2500, 0.2500, 0.2500], [0.7500, 0.7500, 0.7500]]
}

No. 4
{
  "formula": "YGa2Co3",
  "functional": "PBE",
  "state": "relaxed",
  "space_group": "P6/mmm, No. 191",
  "de_polymorph_kcal_per_mol_atoms": 0.212,
  "dos_ef_per_ev_cell": 5.66,
  "delta_e_f_ev_per_atom": -0.363,
  "m_tot_mub_per_atom": 0.1303,
  "lattice": [[-2.8404, -2.3116, -0.7789], [0.2270, 1.4195, -5.0407], [2.8374, -4.0622, 1.7089]],
  "species": ["Y", "Ga", "Ga", "Co", "Co", "Co"],
  "fractional_positions": [[0.0000, 0.0012, 0.0000], [0.0000, 0.3345, 0.6666], [0.0000, 0.6679, 0.3334], [0.5000, 0.0012, 0.5000], [0.5000, 0.5013, 0.5000], [0.5000, 0.5013, 0.0000]]
}

No. 5
{
  "formula": "CsSc2Ag2",
  "functional": "PBE",
  "state": "relaxed",
  "space_group": "P4/mbm, No. 127",
  "dos_ef_per_ev_cell": 8.91,
  "delta_e_f_ev_per_atom": 0.186,
  "m_tot_mub_per_atom": 0.0000,
  "lattice": [[8.7740, 0.0000, 0.0000], [0.0000, 8.7740, 0.0000], [0.0000, 0.0000, 3.3411]],
  "species": ["Cs", "Cs", "Sc", "Sc", "Sc", "Sc", "Ag", "Ag", "Ag", "Ag"],
  "fractional_positions": [[0.0000, 0.0000, 0.0000], [0.5000, 0.5000, 0.0000], [0.3729, 0.8729, 0.0000], [0.8729, 0.6271, 0.0000], [0.6271, 0.1271, 0.0000], [0.1271, 0.3729, 0.0000], [0.1578, 0.6578, 0.5000], [0.6578, 0.8422, 0.5000], [0.8422, 0.3422, 0.5000], [0.3422, 0.1578, 0.5000]]
}

No. 6
{
  "formula": "HoSc2Cu2Ge2",
  "functional": "PBE",
  "state": "relaxed",
  "space_group": "R-3m, No. 166",
  "dos_ef_per_ev_cell": 4.26,
  "delta_e_f_ev_per_atom": -0.499,
  "m_tot_mub_per_atom": 0.0001,
  "lattice": [[-1.6989, -2.8099, -2.6991], [2.4285, -1.8311, -2.9691], [2.0713, -7.7822, 3.4511]],
  "species": ["Ho", "Sc", "Sc", "Cu", "Cu", "Ge", "Ge"],
  "fractional_positions": [[0.0000, 0.0000, 0.0000], [0.1305, 0.1305, 0.6086], [0.8695, 0.8695, 0.3914], [0.5888, 0.5888, 0.2336], [0.4112, 0.4112, 0.7664], [0.7426, 0.7426, 0.7722], [0.2574, 0.2574, 0.2278]]
}

No. 7
{
  "formula": "Cd2In6Ag",
  "functional": "PBE",
  "state": "relaxed",
  "space_group": "C2/m, No. 12",
  "dos_ef_per_ev_cell": 6.71,
  "delta_e_f_ev_per_atom": 0.044,
  "m_tot_mub_per_atom": 0.0000,
  "lattice": [[6.5830, 0.0000, -1.1082], [0.0000, 7.2952, 0.0000], [-1.0501, 0.0000, 9.9700]],
  "species": ["Cd", "Cd", "Cd", "Cd", "In", "In", "In", "In", "In", "In", "In", "In", "In", "In", "In", "In", "Ag", "Ag"],
  "fractional_positions": [[0.0588, 0.5005, 0.8548], [0.4412, 0.0005, 0.6452], [0.5588, 0.9995, 0.3548], [0.9412, 0.4995, 0.1452], [0.8815, 0.0003, 0.1891], [0.7831, 0.7130, 0.5991], [0.7159, 0.7876, 0.9012], [0.7841, 0.2876, 0.5988], [0.7169, 0.2130, 0.9009], [0.6185, 0.5003, 0.3109], [0.1185, 0.9997, 0.8109], [0.2169, 0.2870, 0.4009], [0.2841, 0.2124, 0.0988], [0.2159, 0.7124, 0.4012], [0.2831, 0.7870, 0.0991], [0.3815, 0.4997, 0.6891], [0.5000, 0.5000, 0.0000], [0.0000, 0.0000, 0.5000]]
}

No. 8
{
  "formula": "HfFe2Cu",
  "functional": "PBE",
  "state": "relaxed",
  "space_group": "I-42d, No. 122",
  "dos_ef_per_ev_cell": 10.27,
  "delta_e_f_ev_per_atom": 0.439,
  "m_tot_mub_per_atom": 0.2078,
  "lattice": [[3.7175, 0.0000, 0.0000], [0.0000, 3.7175, 0.0000], [1.8588, 1.8588, 8.5831]],
  "species": ["Hf", "Hf", "Fe", "Fe", "Fe", "Fe", "Cu", "Cu"],
  "fractional_positions": [[0.0000, 0.0000, 0.0000], [0.7500, 0.2500, 0.5000], [0.5311, 0.1250, 0.2500], [0.2189, 0.6250, 0.2500], [0.3750, 0.4689, 0.7500], [0.8750, 0.7811, 0.7500], [0.5000, 0.5000, 0.0000], [0.2500, 0.7500, 0.5000]]
}

No. 9
{
  "formula": "KLi2RhN",
  "functional": "PBE",
  "state": "relaxed",
  "space_group": "P4/mmm, No. 123",
  "dos_ef_per_ev_cell": 2.92,
  "formation_energy_uncorrected_ev_per_atom": -0.009,
  "m_tot_mub_per_atom": 0.0045,
  "lattice": [[4.5482, 0.0000, 0.0000], [0.0000, 4.5482, 0.0000], [0.0000, 0.0000, 3.9173]],
  "species": ["K", "Li", "Li", "Rh", "N"],
  "fractional_positions": [[0.5000, 0.5000, 0.5000], [0.0000, 0.5000, 0.0000], [0.5000, 0.0000, 0.0000], [0.0000, 0.0000, 0.5000], [0.0000, 0.0000, 0.0000]]
}

No. 10
{
  "formula": "Rb2MoICl6",
  "functional": "PBE",
  "state": "relaxed",
  "space_group": "P1, No. 1",
  "dos_ef_per_ev_cell": 5.82,
  "formation_energy_uncorrected_ev_per_atom": -1.188,
  "m_tot_mub_per_atom": 0.0989,
  "lattice": [[-2.0172, -6.9453, -1.0139], [4.4275, -7.6216, 1.3288], [-4.8394, -5.8007, 6.0950]],
  "species": ["Rb", "Rb", "Mo", "I", "Cl", "Cl", "Cl", "Cl", "Cl", "Cl"],
  "fractional_positions": [[0.4549, 0.4653, 0.4626], [0.1652, 0.9034, 0.0199], [0.3320, 0.3362, 0.9963], [0.7404, 0.9114, 0.5433], [0.5028, 0.3528, 0.1340], [0.1897, 0.1438, 0.2201], [0.8776, 0.6348, 0.1728], [0.4759, 0.5299, 0.7715], [0.7779, 0.0491, 0.8254], [0.1452, 0.3350, 0.8693]]
}

No. 11
{
  "formula": "TcSnRuRh2",
  "functional": "PBE",
  "state": "relaxed",
  "space_group": "P4/mmm, No. 123",
  "dos_ef_per_ev_cell": 8.17,
  "delta_e_f_ev_per_atom": 1.919,
  "m_tot_mub_per_atom": 0.2532,
  "lattice": [[4.7170, 0.0000, 0.0000], [0.0000, 4.7936, 0.0000], [0.0000, 0.0000, 4.7170]],
  "species": ["Ru", "Rh", "Rh", "Sn", "Tc"],
  "fractional_positions": [[0.0000, 0.5000, 0.0000], [0.0000, 0.0000, 0.5000], [0.5000, 0.0000, 0.0000], [0.0000, 0.0000, 0.0000], [0.5000, 0.5000, 0.5000]]
}

No. 12
{
  "formula": "Mg2InW",
  "functional": "PBE",
  "state": "relaxed",
  "space_group": "P4/mmm, No. 123",
  "dos_ef_per_ev_cell": 3.30,
  "delta_e_f_ev_per_atom": 0.540,
  "m_tot_mub_per_atom": 0.0001,
  "lattice": [[-3.4041, 2.7037, 2.7760], [-3.7308, -1.2876, -3.3208], [-0.5951, -2.3853, 1.5934]],
  "species": ["In", "Mg", "Mg", "W"],
  "fractional_positions": [[0.0000, 0.5000, 0.5000], [0.0000, 0.0000, 0.0000], [0.5000, 0.5000, 0.0000], [0.5000, 0.0000, 0.5000]]
}

No. 13
{
  "formula": "KMgPb6",
  "functional": "PBE",
  "state": "relaxed",
  "space_group": "P4/mmm, No. 123",
  "dos_ef_per_ev_cell": 3.67,
  "delta_e_f_ev_per_atom": -0.057,
  "m_tot_mub_per_atom": 0.0000,
  "lattice": [[4.9840, 0.0000, 0.0000], [0.0000, 4.9840, 0.0000], [0.0000, 0.0000, 11.2380]],
  "species": ["K", "Mg", "Pb", "Pb", "Pb", "Pb", "Pb", "Pb"],
  "fractional_positions": [[0.0000, 0.0000, 0.0000], [0.0000, 0.0000, 0.5000], [0.5000, 0.0000, 0.6719], [0.0000, 0.5000, 0.6719], [0.5000, 0.5000, 0.1462], [0.5000, 0.5000, 0.8538], [0.0000, 0.5000, 0.3281], [0.5000, 0.0000, 0.3281]]
}

No. 14
{
  "formula": "MgHgRu2",
  "functional": "PBE",
  "state": "relaxed",
  "space_group": "C2/m, No. 12",
  "de_polymorph_kcal_per_mol_atoms": 5.326,
  "dos_ef_per_ev_cell": 4.61,
  "delta_e_f_ev_per_atom": 0.307,
  "m_tot_mub_per_atom": 0.0000,
  "lattice": [[4.8824, -0.0043, 0.0120], [4.0296, 2.7568, 0.0120], [0.8157, 0.2519, 4.8733]],
  "species": ["Hg", "Mg", "Ru", "Ru"],
  "fractional_positions": [[0.7500, 0.7500, 0.7500], [0.2500, 0.2500, 0.2500], [0.9982, 0.9982, 0.0283], [0.5018, 0.5018, 0.4717]]
}

No. 15
{
  "formula": "MnSnPtAu",
  "functional": "PBE",
  "state": "relaxed",
  "space_group": "F-43m, No. 216",
  "dos_ef_per_ev_cell": 2.54,
  "delta_e_f_ev_per_atom": -0.176,
  "m_tot_mub_per_atom": 1.0601,
  "lattice": [[-2.6232, 1.7628, 3.3990], [-4.2995, -1.6083, 0.6848], [-0.9519, -2.5523, 3.7579]],
  "species": ["Mn", "Au", "Sn", "Pt"],
  "fractional_positions": [[0.5000, 0.5000, 0.5000], [0.2500, 0.2500, 0.2500], [0.0000, 0.0000, 0.0000], [0.7500, 0.7500, 0.7500]]
}

No. 16
{
  "formula": "CdPt2Au8",
  "functional": "PBE",
  "state": "relaxed",
  "space_group": "Cmmm, No. 65",
  "de_polymorph_kcal_per_mol_atoms": 1.079,
  "dos_ef_per_ev_cell": 4.36,
  "delta_e_f_ev_per_atom": 0.017,
  "m_tot_mub_per_atom": 0.0000,
  "lattice": [[4.3534, 0.0222, 0.0000], [-0.0409, 8.4235, 0.0001], [-0.0204, 4.2118, 5.6400]],
  "species": ["Cd", "Pt", "Pt", "Au", "Au", "Au", "Au", "Au", "Au", "Au", "Au"],
  "fractional_positions": [[0.5000, 0.0000, 0.0000], [0.0000, 0.3826, 0.2349], [0.0000, 0.6174, 0.7651], [0.9999, 0.0346, 0.2704], [0.9999, 0.3050, 0.7296], [0.4999, 0.3323, 0.0000], [0.5000, 0.7536, 0.4929], [0.5000, 0.2464, 0.5071], [0.5001, 0.6677, 0.0000], [0.0001, 0.6950, 0.2704], [0.0001, 0.9654, 0.7296]]
}

No. 17
{
  "formula": "Li2LaInSe4",
  "functional": "PBE",
  "state": "relaxed",
  "space_group": "Imma, No. 74",
  "formation_energy_uncorrected_ev_per_atom": -1.232,
  "m_tot_mub_per_atom": 0.0000,
  "lattice": [[8.1618, 0.0639, -0.1887], [0.0582, 8.1618, -0.1887], [-4.2019, -4.2049, 6.0068]],
  "species": ["Li", "Li", "Li", "Li", "La", "La", "In", "In", "Se", "Se", "Se", "Se", "Se", "Se", "Se", "Se"],
  "fractional_positions": [[0.5000, 0.0000, 0.0000], [0.5000, 0.0000, 0.5000], [0.0000, 0.0000, 0.5000], [0.5000, 0.5000, 0.0000], [0.0000, 0.5000, 0.0000], [0.0000, 0.5000, 0.5000], [0.5000, 0.5000, 0.5000], [0.0000, 0.0000, 0.0000], [0.2694, 0.7543, 0.0118], [0.7457, 0.2306, 0.4882], [0.2543, 0.7694, 0.5118], [0.7306, 0.2457, 0.9882], [0.7376, 0.7620, 0.9798], [0.7380, 0.7624, 0.5202], [0.2620, 0.2376, 0.4798], [0.2624, 0.2380, 0.0202]]
}

No. 18
{
  "formula": "Rb2ZnHg5",
  "functional": "PBE",
  "state": "relaxed",
  "space_group": "I4mm, No. 107",
  "dos_ef_per_ev_cell": 4.02,
  "delta_e_f_ev_per_atom": -0.151,
  "m_tot_mub_per_atom": 0.0000,
  "lattice": [[6.9297, 0.0002, 0.0004], [0.0004, 6.9310, 0.0004], [-3.4654, -3.4661, 5.9671]],
  "species": ["Rb", "Rb", "Zn", "Hg", "Hg", "Hg", "Hg", "Hg"],
  "fractional_positions": [[0.2838, 0.7838, 0.5677], [0.7839, 0.2838, 0.5677], [0.9094, 0.9094, 0.8187], [0.7830, 0.2772, 0.0603], [0.2773, 0.2773, 0.0603], [0.7830, 0.7830, 0.0603], [0.2773, 0.7830, 0.0603], [0.6793, 0.6793, 0.3587]]
}

No. 19
{
  "formula": "BaReP2",
  "functional": "PBE",
  "state": "relaxed",
  "space_group": "I-4m2, No. 119",
  "dos_ef_per_ev_cell": 3.11,
  "delta_e_f_ev_per_atom": 1.010,
  "m_tot_mub_per_atom": 0.6518,
  "lattice": [[5.8458, 0.0008, 0.0000], [2.8502, 5.1039, 0.0000], [-4.3480, -2.5524, 2.9586]],
  "species": ["Ba", "P", "P", "Re"],
  "fractional_positions": [[0.7500, 0.2500, 0.5000], [0.0000, 0.0000, 0.0000], [0.2500, 0.7500, 0.5000], [0.5000, 0.5000, 0.0000]]
}

No. 20
{
  "formula": "HoPuV4",
  "functional": "PBE",
  "state": "relaxed",
  "space_group": "F-43m, No. 216",
  "dos_ef_per_ev_cell": 12.21,
  "delta_e_f_ev_per_atom": 0.326,
  "m_tot_mub_per_atom": 0.6454,
  "lattice": [[-5.1432, -0.9835, 0.8308], [-1.5788, -2.1728, 4.5713], [-2.7191, 2.8955, 3.5118]],
  "species": ["V", "V", "V", "V", "Ho", "Pu"],
  "fractional_positions": [[0.6224, 0.6224, 0.1327], [0.6224, 0.1327, 0.6224], [0.6224, 0.6224, 0.6224], [0.1327, 0.6224, 0.6224], [0.0000, 0.0000, 0.0000], [0.2500, 0.2500, 0.2500]]
}

No. 21
{
  "formula": "SrEuI",
  "functional": "PBE",
  "state": "relaxed",
  "space_group": "P3m1, No. 156",
  "de_polymorph_kcal_per_mol_atoms": 4.691,
  "dos_ef_per_ev_cell": 11.94,
  "formation_energy_uncorrected_ev_per_atom": -0.500,
  "m_tot_mub_per_atom": 2.4455,
  "lattice": [[4.5839, 0.0000, 0.0000], [0.0000, 5.8238, 0.0000], [0.0000, -2.9119, 5.0436]],
  "species": ["Eu", "I", "Sr"],
  "fractional_positions": [[0.1696, 0.3333, 0.6667], [0.1587, 0.0000, 0.0000], [0.6717, 0.6667, 0.3333]]
}

No. 22
{
  "formula": "TaSb2Ru",
  "functional": "PBE",
  "state": "relaxed",
  "space_group": "I-4m2, No. 119",
  "de_polymorph_kcal_per_mol_atoms": 9.010,
  "dos_ef_per_ev_cell": 2.97,
  "formation_energy_uncorrected_ev_per_atom": 0.313,
  "m_tot_mub_per_atom": 0.0000,
  "lattice": [[-0.0855, 4.2177, -3.0707], [0.7001, -1.4295, -4.9691], [-3.2783, -1.6959, 3.6881]],
  "species": ["Ru", "Sb", "Sb", "Ta"],
  "fractional_positions": [[0.7500, 0.2500, 0.5000], [0.0000, 0.0000, 0.0000], [0.2500, 0.7500, 0.5000], [0.5000, 0.5000, 0.0000]]
}